Record 1
# MgV2AgBi

A relaxed MgV2AgBi crystal (PBE, Alexandria).

a b c (Å): 5.0566 5.0566 5.4000
angles (deg): 90.00 90.00 90.00
Fractional coordinates of all 5 atoms:
Mg1 0.0000 0.0000 0.0000
V1 0.0000 0.5000 0.5000
V2 0.5000 0.0000 0.5000
Ag1 0.5000 0.5000 0.5000
Bi1 0.5000 0.5000 0.0000

Values from the calculation:
Magnetic moment, μB per atom: 1.3715
Formation energy from the elements, eV/atom: 1.20
Crystal system: tetragonal
ρ, Mg/m³: 5.33

Record 2
# Mg2ZnAgBi

A relaxed Mg2ZnAgBi crystal (PBE, Alexandria).

a b c (Å): 5.1325 5.1325 4.8696
angles (deg): 90.00 90.00 90.00
Fractional coordinates of all 5 atoms:
Mg1 0.0000 0.5000 0.0000
Mg2 0.5000 0.0000 0.0000
Zn1 0.0000 0.0000 0.5000
Ag1 0.0000 0.0000 0.0000
Bi1 0.5000 0.5000 0.5000

Values from the calculation:
Magnetic moment, μB per atom: 0.0000
Formation energy from the elements, eV/atom: 0.16
Crystal system: tetragonal
ρ, Mg/m³: 5.58

Record 3
# MgZnAgBi2

A relaxed MgZnAgBi2 crystal (PBE, Alexandria).

a b c (Å): 5.5178 5.5178 4.9924
angles (deg): 90.00 90.00 90.00
Fractional coordinates of all 5 atoms:
Mg1 0.0000 0.0000 0.0000
Zn1 0.0000 0.0000 0.5000
Ag1 0.5000 0.5000 0.5000
Bi1 0.0000 0.5000 0.0000
Bi2 0.5000 0.0000 0.0000

Values from the calculation:
Magnetic moment, μB per atom: 0.0000
Formation energy from the elements, eV/atom: 0.57
Crystal system: tetragonal
ρ, Mg/m³: 6.72

Record 4
# MgZnAgBi2

A relaxed MgZnAgBi2 crystal (PBE, Alexandria).

a b c (Å): 5.4393 5.4393 4.8956
angles (deg): 90.00 90.00 90.00
Fractional coordinates of all 5 atoms:
Mg1 0.0000 0.0000 0.0000
Zn1 0.5000 0.5000 0.5000
Ag1 0.5000 0.5000 0.0000
Bi1 0.0000 0.5000 0.5000
Bi2 0.5000 0.0000 0.5000

Values from the calculation:
Magnetic moment, μB per atom: 0.0000
Formation energy from the elements, eV/atom: 0.38
Crystal system: tetragonal
ρ, Mg/m³: 7.06